# 1
Cs2RbCe3F12 PBE relaxed; formation energy without anion corrections = -3.549 eV per atom; total moment = 3.00 μB per formula unit; raw total energy = -5.934 eV/atom
1.0
4.463 2.577 6.608
-4.463 2.577 6.608
0.000 -5.153 6.608
Cs Rb Ce F
2 1 3 12
Direct
0.130 0.130 0.130
0.870 0.870 0.870
0.500 0.500 0.500
0.000 0.500 0.500
0.500 0.000 0.500
0.500 0.500 0.000
0.074 0.631 0.631
0.227 0.227 0.597
0.227 0.597 0.227
0.369 0.369 0.926
0.369 0.926 0.369
0.403 0.773 0.773
0.597 0.227 0.227
0.631 0.074 0.631
0.631 0.631 0.074
0.773 0.403 0.773
0.773 0.773 0.403
0.926 0.369 0.369

=====

# 2
RbBa2NaPt PBE relaxed; total moment = 0.00 μB per formula unit; energy relative to the elements = -0.23 eV/atom; raw total energy = -2.663 eV/atom; energy above the most stable polymorph in this dataset = 0.000 eV per atom
1.0
6.223 0.000 0.000
0.000 6.223 0.000
0.000 0.000 6.319
Rb Ba Na Pt
1 2 1 1
Direct
0.000 0.000 0.000
0.000 0.500 0.500
0.500 0.000 0.500
0.500 0.500 0.000
0.500 0.500 0.500

=====

# 3
BaMg2InPb2 PBE relaxed; total moment = 0.00 μB per formula unit; energy relative to the elements = -0.21 eV/atom; raw total energy = -2.757 eV/atom
1.0
8.118 0.000 0.000
0.000 9.608 0.000
0.000 0.000 4.799
Ba Mg In Pb
2 4 2 4
Direct
0.000 0.000 0.000
0.500 0.500 0.500
0.172 0.351 0.000
0.328 0.851 0.500
0.672 0.149 0.500
0.828 0.649 0.000
0.000 0.500 0.500
0.500 0.000 0.000
0.214 0.670 0.000
0.286 0.170 0.500
0.714 0.830 0.500
0.786 0.330 0.000

=====

# 4
Cr3Re PBE relaxed; total moment = 0.00 μB per formula unit; energy relative to the elements = 0.03 eV/atom; raw total energy = -10.298 eV/atom
1.0
2.565 0.000 0.000
0.000 4.111 0.000
-0.873 0.000 4.784
Cr Re
3 1
Direct
0.000 0.000 0.000
0.251 0.500 0.761
0.749 0.500 0.239
0.500 0.000 0.500

=====

# 5
Ca3TlZn PBE relaxed; total moment = 0.00 μB per formula unit; energy relative to the elements = -0.29 eV/atom; raw total energy = -2.215 eV/atom; energy above the most stable polymorph in this dataset = 0.000 eV per atom
1.0
2.703 -10.290 0.000
2.703 10.290 0.000
0.000 0.000 5.406
Ca Tl Zn
6 2 2
Direct
0.071 0.929 0.750
0.250 0.750 0.750
0.429 0.571 0.750
0.571 0.429 0.250
0.750 0.250 0.250
0.929 0.071 0.250
0.157 0.843 0.250
0.843 0.157 0.750
0.343 0.657 0.250
0.657 0.343 0.750

=====

# 6
MgMoPd PBE relaxed; total moment = 0.00 μB per formula unit; energy relative to the elements = -0.10 eV/atom; raw total energy = -5.974 eV/atom; energy above the most stable polymorph in this dataset = 0.107 eV per atom
1.0
5.521 -1.584 0.000
5.521 1.584 0.000
-1.884 0.000 5.751
Mg Mo Pd
2 2 2
Direct
0.000 0.000 0.000
0.000 0.000 0.500
0.304 0.304 0.652
0.696 0.696 0.348
0.343 0.343 0.163
0.657 0.657 0.837

=====

# 7
Ba3Mg4Hg4 PBE relaxed; total moment = 0.00 μB per formula unit; energy relative to the elements = -0.35 eV/atom; raw total energy = -1.561 eV/atom; energy above the most stable polymorph in this dataset = 0.000 eV per atom
1.0
-2.373 4.344 8.248
2.373 -4.344 8.248
2.373 4.344 -8.248
Ba Mg Hg
3 4 4
Direct
0.000 0.000 0.000
0.380 0.880 0.500
0.620 0.120 0.500
0.010 0.322 0.688
0.366 0.678 0.688
0.634 0.322 0.312
0.990 0.678 0.312
0.223 0.223 0.000
0.298 0.500 0.798
0.702 0.500 0.202
0.777 0.777 0.000

=====

# 8
CuTe PBE relaxed; formation energy without anion corrections = -0.029 eV per atom; total moment = 0.00 μB per formula unit; raw total energy = -3.648 eV/atom
1.0
0.000 2.944 2.944
2.944 0.000 2.944
2.944 2.944 0.000
Cu Te
1 1
Direct
0.000 0.000 0.000
0.750 0.750 0.750